[1]
This record from Alexandria via LeMat-Bulk describes an optimized crystal structure of PrNdDy. The functional is PBE.

Energy above the most stable polymorph in this dataset, eV per atom: 0.181
Total moment, μB/cell: 0.000

```
PrNdDy
1.0
-4.8295 0.8238 -0.4920
0.0768 -2.1850 -4.4119
-1.7174 -7.7843 3.8253
Nd Dy Pr
2 2 2
Direct
0.0000 0.5000 0.6988 Nd
0.5000 0.0000 0.3012 Nd
0.0000 0.0000 0.0000 Dy
0.5000 0.5000 0.0000 Dy
0.0000 0.5000 0.3026 Pr
0.5000 0.0000 0.6974 Pr
```

---

[2]
This record from Alexandria via LeMat-Bulk describes an optimized crystal structure of Pr2Nd2Dy15. The functional is PBE.

Total moment, μB/cell: 0.001

```
Pr2Nd2Dy15
1.0
-2.7406 -7.4528 -3.6992
5.1522 -0.1869 -7.0824
6.2400 -5.4830 2.7819
Dy Nd Pr
15 2 2
Direct
0.0000 0.3014 0.6986 Dy
0.8493 0.3695 0.3695 Dy
0.6305 0.1507 0.6305 Dy
0.6986 0.0000 0.3014 Dy
0.1507 0.6305 0.6305 Dy
0.3014 0.0000 0.6986 Dy
0.3695 0.8493 0.3695 Dy
0.5000 0.0000 0.0000 Dy
0.3014 0.6986 0.0000 Dy
0.0000 0.6986 0.3014 Dy
0.0000 0.0000 0.5000 Dy
0.3695 0.3695 0.8493 Dy
0.6305 0.6305 0.1507 Dy
0.6986 0.3014 0.0000 Dy
0.0000 0.5000 0.0000 Dy
0.3280 0.3280 0.3280 Nd
0.6720 0.6720 0.6720 Nd
0.0942 0.0942 0.0942 Pr
0.9058 0.9058 0.9058 Pr
```

---

[3]
This record from Alexandria via LeMat-Bulk describes an optimized crystal structure of PrNd5Dy. The functional is PBE.

Energy above the most stable polymorph in this dataset, eV per atom: 0.000
Total moment, μB/cell: 0.000

```
PrNd5Dy
1.0
3.7046 0.0000 0.0000
0.0000 9.4743 -1.4961
0.0000 -1.5199 14.2856
Pr Nd Dy
2 10 2
Direct
0.2500 0.8983 0.8835 Pr
0.7500 0.1017 0.1165 Pr
0.7500 0.1986 0.8765 Nd
0.7500 0.3330 0.5083 Nd
0.2500 0.3511 0.7214 Nd
0.2500 0.8014 0.1235 Nd
0.2500 0.6670 0.4917 Nd
0.7500 0.6489 0.2786 Nd
0.7500 0.5911 0.9231 Nd
0.2500 0.0085 0.3794 Nd
0.2500 0.4089 0.0769 Nd
0.7500 0.9915 0.6206 Nd
0.7500 0.6619 0.6974 Dy
0.2500 0.3381 0.3026 Dy
```

---

[4]
This record from Alexandria via LeMat-Bulk describes an optimized crystal structure of Pr4NdDy5. The functional is PBE.

Energy above the most stable polymorph in this dataset, eV per atom: 0.218
Total moment, μB/cell: 0.000

```
Pr4NdDy5
1.0
6.1125 0.0000 0.0000
3.0563 7.5359 0.0000
3.0563 0.0000 7.5359
Dy Pr Nd
5 4 1
Direct
0.1243 0.0001 0.6218 Dy
0.7461 0.3782 0.0001 Dy
0.1244 0.6218 0.9999 Dy
0.6770 0.0000 0.0000 Dy
0.7462 0.9999 0.3782 Dy
0.4718 0.3257 0.6742 Pr
0.4717 0.6743 0.3258 Pr
0.1460 0.3258 0.3257 Pr
0.7975 0.6742 0.6743 Pr
0.2055 0.0000 0.0000 Nd
```

---

[5]
This record from Alexandria via LeMat-Bulk describes an optimized crystal structure of Pr5Nd4Dy4. The functional is PBE.

Total moment, μB/cell: 0.000

```
Pr5Nd4Dy4
1.0
-3.1134 3.6421 1.8829
-0.1896 -1.4688 9.5654
5.7475 7.5364 1.9639
Nd Pr Dy
4 5 4
Direct
0.9232 0.4602 0.6934 Nd
0.3834 0.6934 0.5398 Nd
0.0768 0.5398 0.3066 Nd
0.6166 0.3066 0.4602 Nd
0.4598 0.2328 0.8477 Pr
0.6926 0.8476 0.7671 Pr
0.0000 0.0000 0.0000 Pr
0.5402 0.7672 0.1523 Pr
0.3074 0.1524 0.2329 Pr
0.1546 0.0775 0.6133 Dy
0.8454 0.9225 0.3867 Dy
0.7679 0.3868 0.0775 Dy
0.2321 0.6132 0.9225 Dy
```

---

[6]
This record from Alexandria via LeMat-Bulk describes an optimized crystal structure of PrNdDy3. The functional is PBE.

Energy above the most stable polymorph in this dataset, eV per atom: 0.132
Total moment, μB/cell: 0.000

```
PrNdDy3
1.0
3.6524 0.0020 0.0000
-1.8267 8.4861 0.0000
0.0000 0.0000 11.6925
Dy Pr Nd
6 2 2
Direct
0.6527 0.8035 0.2500 Dy
0.1580 0.8145 0.4973 Dy
0.3473 0.1965 0.7500 Dy
0.8420 0.1855 0.5027 Dy
0.1580 0.8145 0.0027 Dy
0.8420 0.1855 0.9973 Dy
0.3126 0.1263 0.2500 Pr
0.6874 0.8737 0.7500 Pr
0.9873 0.4738 0.2500 Nd
0.0127 0.5262 0.7500 Nd
```

---

[7]
This record from Alexandria via LeMat-Bulk describes an optimized crystal structure of PrNdDy5. The functional is PBE.

Energy above the most stable polymorph in this dataset, eV per atom: 0.000
Total moment, μB/cell: 0.000

```
PrNdDy5
1.0
6.2073 0.1091 2.8014
2.3189 5.7590 2.8014
1.0897 0.7500 13.7950
Dy Pr Nd
10 2 2
Direct
0.3941 0.1700 0.2473 Dy
0.8300 0.6059 0.2527 Dy
0.8383 0.1617 0.2500 Dy
0.6059 0.8300 0.7527 Dy
0.6969 0.6458 0.0013 Dy
0.3542 0.3031 0.4987 Dy
0.1617 0.8383 0.7500 Dy
0.3031 0.3542 0.9987 Dy
0.6458 0.6969 0.5013 Dy
0.1700 0.3941 0.7473 Dy
0.7229 0.2771 0.7500 Pr
0.2771 0.7229 0.2500 Pr
0.0000 0.0000 0.5000 Nd
0.0000 0.0000 0.0000 Nd
```

---

[8]
This record from Alexandria via LeMat-Bulk describes an optimized crystal structure of Pr5Nd4Dy. The functional is PBE.

Energy above the most stable polymorph in this dataset, eV per atom: 0.000
Total moment, μB/cell: 0.000

```
Pr5Nd4Dy
1.0
-1.3231 -1.1727 3.1174
-2.6101 -9.9231 -4.8407
7.9130 -4.9522 -0.5646
Nd Pr Dy
4 5 1
Direct
0.3040 0.0821 0.6081 Nd
0.9081 0.8054 0.8162 Nd
0.6960 0.9179 0.3919 Nd
0.0919 0.1946 0.1838 Nd
0.1052 0.7129 0.2103 Pr
0.5000 0.5000 0.0000 Pr
0.2076 0.3997 0.4152 Pr
0.7924 0.6003 0.5848 Pr
0.8948 0.2871 0.7897 Pr
0.5000 0.0000 0.0000 Dy
```

---

[9]
This record from Alexandria via LeMat-Bulk describes an optimized crystal structure of Pr2Nd8Dy. The functional is PBE.

Energy above the most stable polymorph in this dataset, eV per atom: 0.000
Total moment, μB/cell: 0.000

```
Pr2Nd8Dy
1.0
8.3273 2.2841 3.9686
4.5567 7.9306 4.6623
4.0061 1.9790 9.2428
Nd Pr Dy
8 2 1
Direct
0.3876 0.3080 0.3080 Nd
0.6124 0.6920 0.6920 Nd
0.7313 0.3212 0.3212 Nd
0.1361 0.7831 0.3502 Nd
0.2687 0.6788 0.6788 Nd
0.1361 0.3502 0.7831 Nd
0.8639 0.2169 0.6498 Nd
0.8639 0.6498 0.2169 Nd
0.3492 0.1414 0.1414 Pr
0.6508 0.8586 0.8586 Pr
0.0000 0.0000 0.0000 Dy
```

---

[10]
This record from Alexandria via LeMat-Bulk describes an optimized crystal structure of PrNd4Dy. The functional is PBE.

Energy above the most stable polymorph in this dataset, eV per atom: 0.000
Total moment, μB/cell: 0.000

```
PrNd4Dy
1.0
-2.8128 0.1876 -7.7075
-6.0663 -2.6710 -4.8393
-2.7471 4.2374 1.1071
Nd Pr Dy
4 1 1
Direct
0.3337 0.3337 0.0002 Nd
0.8343 0.8343 0.4998 Nd
0.6663 0.6663 0.9998 Nd
0.1657 0.1657 0.5002 Nd
0.5000 0.5000 0.5000 Pr
0.0000 0.0000 0.0000 Dy
```

---

[11]
This record from Alexandria via LeMat-Bulk describes an optimized crystal structure of Pr12Nd2Dy5. The functional is PBE.

Energy above the most stable polymorph in this dataset, eV per atom: 0.000
Total moment, μB/cell: 0.000

```
Pr12Nd2Dy5
1.0
-11.2314 2.0858 -3.1482
2.9023 -2.7868 10.0989
1.1070 6.2002 0.1585
Nd Pr Dy
2 12 5
Direct
0.2278 0.0000 0.0000 Nd
0.7722 0.0000 0.0000 Nd
0.0610 0.6034 0.7994 Pr
0.4430 0.8861 0.7263 Pr
0.5424 0.6034 0.7994 Pr
0.3536 0.2080 0.6153 Pr
0.9390 0.3966 0.2006 Pr
0.8544 0.2080 0.6153 Pr
0.8781 0.7561 0.0021 Pr
0.4576 0.3966 0.2006 Pr
0.6464 0.7920 0.3847 Pr
0.1456 0.7920 0.3847 Pr
0.5570 0.1139 0.2737 Pr
0.1219 0.2439 0.9979 Pr
0.7859 0.5718 0.4507 Dy
0.6783 0.3567 0.8576 Dy
0.2141 0.4282 0.5493 Dy
0.0000 0.0000 0.5000 Dy
0.3217 0.6433 0.1424 Dy
```

---

[12]
This record from Alexandria via LeMat-Bulk describes an optimized crystal structure of PrNd2Dy8. The functional is PBE.

Energy above the most stable polymorph in this dataset, eV per atom: 0.000
Total moment, μB/cell: 0.000

```
PrNd2Dy8
1.0
-1.0151 -6.4619 1.5142
-2.5322 -6.8076 -7.3084
3.9545 -7.4892 -5.8686
Dy Nd Pr
8 2 1
Direct
0.7678 0.1739 0.6465 Dy
0.1831 0.7563 0.7563 Dy
0.7678 0.6465 0.1739 Dy
0.7305 0.5871 0.5871 Dy
0.2322 0.8261 0.3535 Dy
0.2322 0.3535 0.8261 Dy
0.8169 0.2437 0.2437 Dy
0.2695 0.4129 0.4129 Dy
0.3870 0.2049 0.2049 Nd
0.6130 0.7951 0.7951 Nd
0.0000 0.0000 0.0000 Pr
```

---

| no. | volume (Å³ per cell) | final energy (eV for the cell shown) |
| --- | --- | --- |
| 1 | 214 | -27.16 |
| 2 | 644 | -82.82 |
| 3 | 493 | -65.54 |
| 4 | 347 | -44.55 |
| 5 | 448 | -61.17 |
| 6 | 362 | -43.64 |
| 7 | 464 | -62.47 |
| 8 | 356 | -46.72 |
| 9 | 390 | -50.99 |
| 10 | 209 | -28.37 |
| 11 | 664 | -88.11 |
| 12 | 367 | -49.39 |